1.
## YEr4Si4 (GGA-PBE)

Data for a geometry-optimized YEr4Si4 structure.

Results
Fermi-level density of states: 15.19 states/eV/cell
Formation energy from raw total energies: -0.4867 eV/atom
Crystal system: tetragonal
Magnetization: 0.00 μB/f.u.

```
YEr4Si4
1.0
5.697 0.000 0.000
0.000 8.973 0.000
0.000 0.000 8.973
Y Er Si
2 8 8
Direct
0.000 0.000 0.000
0.500 0.500 0.500
0.377 0.336 0.902
0.877 0.598 0.836
0.377 0.664 0.098
0.123 0.164 0.598
0.623 0.902 0.664
0.123 0.836 0.402
0.877 0.402 0.164
0.623 0.098 0.336
0.622 0.778 0.358
0.622 0.222 0.642
0.122 0.858 0.722
0.878 0.278 0.858
0.878 0.722 0.142
0.378 0.358 0.222
0.378 0.642 0.778
0.122 0.142 0.278
```

=====

2.
## BaLi3Pt (GGA-PBE)

Data for a geometry-optimized BaLi3Pt structure.

Results
Fermi-level density of states: 3.10 states/eV/cell
ΔE_f: -0.231 eV/atom
Distance to the lowest polymorph of the same formula: 105.8 meV per atom
Crystal system: cubic
Magnetization: 0.00 μB/f.u.

```
BaLi3Pt
1.0
4.993 0.000 0.000
0.000 4.993 0.000
0.000 0.000 4.993
Ba Pt Li
1 1 3
Direct
0.500 0.500 0.500
0.000 0.000 0.000
0.000 0.500 0.000
0.000 0.000 0.500
0.500 0.000 0.000
```

=====

3.
## KLaCu2 (GGA-PBE)

Data for a geometry-optimized KLaCu2 structure.

Results
Fermi-level density of states: 1.55 states/eV/cell
ΔE_f: 0.084 eV/atom
Distance to the lowest polymorph of the same formula: 0.0 meV per atom
Crystal system: monoclinic
Magnetization: 0.00 μB/f.u.

```
KLaCu2
1.0
3.854 0.000 0.000
0.000 3.845 0.169
0.000 3.463 8.047
Cu K La
2 1 1
Direct
0.000 0.085 0.916
0.000 0.415 0.584
0.500 0.250 0.250
0.500 0.750 0.750
```

=====

4.
## Mg14TlSn (GGA-PBE)

Data for a geometry-optimized Mg14TlSn structure.

Results
Fermi-level density of states: 10.80 states/eV/cell
ΔE_f: -0.030 eV/atom
Crystal system: tetragonal
Magnetization: 0.00 μB/f.u.

```
Mg14TlSn
1.0
6.409 -0.014 0.000
0.014 6.409 0.000
0.000 0.000 9.033
Mg Tl Sn
14 1 1
Direct
0.875 0.875 0.000
0.375 0.375 0.000
0.875 0.375 0.500
0.875 0.375 0.000
0.375 0.875 0.500
0.375 0.875 0.000
0.625 0.125 0.248
0.625 0.125 0.752
0.125 0.625 0.248
0.125 0.625 0.752
0.625 0.625 0.248
0.625 0.625 0.752
0.125 0.125 0.248
0.125 0.125 0.752
0.375 0.375 0.500
0.875 0.875 0.500
```

=====

The highest Fermi-level density of states belongs to which entry? YEr4Si4